The following is a DFT calculation (PBE-GGA) of La3Ga2Pd2 after structural relaxation.

Computed properties:
Crystal system: orthorhombic

Lattice parameters (Å, degrees): 5.8587 8.4389 13.7854 90.00 90.00 90.00
Sites, in units of the cell vectors:
Ga 0.1495 0.6092 0.7500
Ga 0.8505 0.1092 0.7500
Ga 0.1495 0.8908 0.2500
Ga 0.6598 0.7500 0.0000
Ga 0.3402 0.2500 0.0000
Ga 0.8505 0.3908 0.2500
Ga 0.6598 0.7500 0.5000
Ga 0.3402 0.2500 0.5000
La 0.8545 0.1056 0.0992
La 0.1455 0.8944 0.9008
La 0.6497 0.7456 0.2500
La 0.8545 0.3944 0.9008
La 0.1455 0.8944 0.5992
La 0.1455 0.6056 0.0992
La 0.1455 0.6056 0.4008
La 0.3503 0.2456 0.2500
La 0.6497 0.7544 0.7500
La 0.3503 0.2544 0.7500
La 0.8545 0.1056 0.4008
La 0.8545 0.3944 0.5992
Pd 0.3808 0.5382 0.9082
Pd 0.6192 0.4618 0.0918
Pd 0.3808 0.9618 0.4082
Pd 0.6192 0.0382 0.9082
Pd 0.6192 0.4618 0.4082
Pd 0.3808 0.5382 0.5918
Pd 0.3808 0.9618 0.0918
Pd 0.6192 0.0382 0.5918

***

The following is a DFT calculation (PBE-GGA) of LaGa4Pd6 after structural relaxation.

Computed properties:
Crystal system: hexagonal

Lattice parameters (Å, degrees): 3.9908 7.3744 7.3744 120.00 90.00 90.00
Sites, in units of the cell vectors:
Pd 0.5000 0.6003 0.8001
Pd 0.0000 0.5337 0.4663
Pd 0.5000 0.1999 0.8001
Pd 0.0000 0.5337 0.0673
Pd 0.5000 0.1999 0.3997
Pd 0.0000 0.9327 0.4663
Ga 0.0000 0.3333 0.6667
Ga 0.5000 0.7985 0.2015
Ga 0.5000 0.4029 0.2015
Ga 0.5000 0.7985 0.5971
La 0.0000 0.0000 0.0000

***

The following is a DFT calculation (PBE-GGA) of La3Ga8Pd3 after structural relaxation.

Computed properties:
ΔE to the lowest computed polymorph (meV/atom): 17
Crystal system: monoclinic

Lattice parameters (Å, degrees): 4.5706 8.4039 8.5273 64.85 74.45 74.22
Sites, in units of the cell vectors:
Ga 0.5055 0.6680 0.3210
Ga 0.4945 0.3320 0.6790
Ga 0.6513 0.9806 0.7167
Ga 0.3487 0.0194 0.2833
Ga 0.1495 0.5645 0.1365
Ga 0.1383 0.1494 0.5739
Ga 0.8505 0.4355 0.8635
Ga 0.8617 0.8506 0.4261
Pd 0.6531 0.6974 0.9964
Pd 0.0000 0.5000 0.5000
Pd 0.3469 0.3026 0.0036
La 0.2901 0.7227 0.6970
La 0.0000 0.0000 0.0000
La 0.7099 0.2773 0.3030

***

no.,volume (Å³/atom),E (eV/atom)
1,24.342,-5.23
2,17.086,-5.15
3,20.066,-4.61